Density functional theory data (PBE with a Hubbard U) for crystalline CrSnPtO6 at its relaxed geometry.

* DFT total energy: -0.23806 Ha/atom
* D(E_F): 5.81 states/eV/cell

```
CrSnPtO6
1.0
4.658 0.000 0.000
0.000 4.658 0.000
0.000 0.000 9.507
Cr Sn Pt O
2 2 2 12
Direct
0.000 0.000 0.000
0.500 0.500 0.500
0.000 0.000 0.332
0.500 0.500 0.832
0.000 0.000 0.665
0.500 0.500 0.165
0.185 0.185 0.834
0.196 0.196 0.503
0.197 0.197 0.161
0.303 0.697 0.661
0.304 0.696 0.003
0.315 0.685 0.334
0.685 0.315 0.334
0.696 0.304 0.003
0.697 0.303 0.661
0.803 0.803 0.161
0.804 0.804 0.503
0.815 0.815 0.834
```